Tb8Ir2Rh: relaxed, PBE.

Computed properties:
**Energy**: -135.6 eV per cell
**Polymorph energy (0 for the lowest one)**: 0 meV per atom
**DOS(E_F)**: 20.51 states/eV per cell
**Total moment**: 0.00 μB/f.u.
**Energy of formation**: -0.5188 eV per atom

Unit cell a=17.4065 b=4.9000 c=6.8627 alpha=90.00 beta=106.12 gamma=90.00
With the nearest neighbours (Å) after each atom.
Space group C2/m (No. 12)
Asymmetric unit:
Tb: 0.0315 0.0000 0.2877 x4  1 Ir 2.92, 2 Rh 2.98
Tb: 0.0955 0.5000 0.9563 x4  1 Rh 3.11, 2 Ir 3.17, 6 Tb 3.37-3.41
Tb: 0.1678 0.5000 0.4663 x4  3 Ir 2.86-3.10, 1 Rh 2.99
Tb: 0.2043 0.0000 0.8134 x4  3 Ir 2.80-3.12
Ir: 0.1878 0.0000 0.2081 x4  7 Tb 2.80-3.12
Rh: 0.0000 0.5000 0.5000 x2  8 Tb 2.98-3.11